# Na3IO | Alexandria | PBE | optimized geometry
data_Na3IO
_cell_length_a 4.0266
_cell_length_b 6.2980
_cell_length_c 8.7006
_cell_angle_alpha 90.00
_cell_angle_beta 90.11
_cell_angle_gamma 90.00
_space_group_name_H-M_alt 'P 1 21/m 1'
_space_group_IT_number 11
loop_
_space_group_symop_operation_xyz
'x,y,z'
'-x,-y,-z'
'-x,y+1/2,-z'
'x,-y+1/2,z'
loop_
_atom_site_label
_atom_site_fract_x
_atom_site_fract_y
_atom_site_fract_z
Na1 0.2481 0.2500 0.1478
Na2 0.2504 0.5135 0.6077
I1 0.2522 0.7500 0.1363
O1 0.2491 0.2500 0.4100
# formation energy from raw total energies = -1.18 eV/atom
# uncorrected energy = -3.2683 eV per atom
# total magnetization = 0.000 μB per atom